Compound: Cs2ZrCu3F12
Source: Alexandria via LeMat-Bulk
Functional: PBE
Structure: relaxed

Unit cell a=8.1727 b=8.1727 c=8.1727 alpha=52.40 beta=52.40 gamma=52.40
With the nearest neighbours (Å) after each atom.
Positions (direct):
Cs1 0.8942 0.8942 0.8942  6 F 3.17-3.46
Cs2 0.1058 0.1058 0.1058  6 F 3.17-3.46
Zr1 0.5000 0.5000 0.5000  6 F 2.04
Cu1 0.0000 0.5000 0.5000  4 F 1.93
Cu2 0.5000 0.0000 0.5000  4 F 1.93
Cu3 0.5000 0.5000 0.0000  4 F 1.93
F1 0.4179 0.4179 0.8257  1 Zr 2.04
F2 0.8257 0.4179 0.4179  1 Zr 2.04
F3 0.4179 0.8257 0.4179  1 Zr 2.04
F4 0.5821 0.1743 0.5821  1 Zr 2.04
F5 0.5821 0.5821 0.1743  1 Zr 2.04
F6 0.1743 0.5821 0.5821  1 Zr 2.04
F7 0.5822 0.1871 0.1871  2 Cu 1.93
F8 0.1871 0.1871 0.5822  2 Cu 1.93
F9 0.1871 0.5822 0.1871  2 Cu 1.93
F10 0.8129 0.4178 0.8129  2 Cu 1.93
F11 0.4178 0.8129 0.8129  2 Cu 1.93
F12 0.8129 0.8129 0.4178  2 Cu 1.93

Values from the calculation:
- ΔE_f (raw) (meV per atom) = -2460
- density of states at the Fermi level (states/eV/cell) = 3.3
- space-group type = R-3m, No. 166
- mass density (kg/m3) = 4061

---

Compound: Sr3As2Cl
Source: Alexandria via LeMat-Bulk
Functional: PBE
Structure: relaxed

Unit cell a=6.2871 b=7.8739 c=8.7350 alpha=106.09 beta=90.00 gamma=113.53
With the nearest neighbours (Å) after each atom.
Positions (direct):
Sr1 0.4999 0.0000 0.7500  4 As 3.12, 2 Cl 3.14-3.15
Sr2 0.5001 0.0000 0.2500  4 As 3.12, 2 Cl 3.14-3.15
Sr3 0.8265 0.6523 0.9129  4 As 3.14-3.15, 2 Cl 3.24
Sr4 0.1742 0.3477 0.5871  4 As 3.14-3.15, 2 Cl 3.24
Sr5 0.8258 0.6523 0.4129  4 As 3.14-3.15, 2 Cl 3.24
Sr6 0.1735 0.3477 0.0871  4 As 3.14-3.15, 2 Cl 3.24
As1 0.3377 0.6761 0.4192  6 Sr 3.12-3.15
As2 0.3385 0.6761 0.9192  6 Sr 3.12-3.15
As3 0.6615 0.3239 0.0808  6 Sr 3.12-3.15
As4 0.6623 0.3239 0.5808  6 Sr 3.12-3.15
Cl1 0.9999 0.0000 0.2500  6 Sr 3.14-3.24
Cl2 0.0001 0.0000 0.7500  6 Sr 3.14-3.24

Values from the calculation:
- ΔE_f (raw) (meV per atom) = -1406
- density of states at the Fermi level (states/eV/cell) = 13.9
- space-group type = Immm, No. 71
- mass density (kg/m3) = 3938

---

Compound: NiRuSe2
Source: Alexandria via LeMat-Bulk
Functional: PBE
Structure: relaxed

Unit cell a=7.6419 b=7.6419 c=7.6419 alpha=26.71 beta=26.71 gamma=26.71
With the nearest neighbours (Å) after each atom.
Positions (direct):
Ru1 0.5000 0.5000 0.5000  6 Se 2.50
Se1 0.8988 0.8988 0.8988  1 Ni 2.24, 3 Ru 2.50
Se2 0.1012 0.1012 0.1012  1 Ni 2.24, 3 Ru 2.50
Ni1 0.0000 0.0000 0.0000  2 Se 2.24

Values from the calculation:
- ΔE_f (raw) (meV per atom) = 135
- density of states at the Fermi level (states/eV/cell) = 6.2
- space-group type = R-3m, No. 166
- mass density (kg/m3) = 6638

---

Compound: CsRhS2N
Source: Alexandria via LeMat-Bulk
Functional: PBE
Structure: relaxed

Unit cell a=5.6348 b=5.6348 c=4.4586 alpha=90.00 beta=90.00 gamma=90.00
With the nearest neighbours (Å) after each atom.
Positions (direct):
Cs1 0.0000 0.0000 0.0000  2 N 2.23
S1 0.0000 0.5000 0.0000  2 Cs 2.82
S2 0.5000 0.0000 0.0000  2 Cs 2.82
Rh1 0.5000 0.5000 0.5000  8 S 3.59, 4 N 3.98
N1 0.0000 0.0000 0.5000  2 Cs 2.23

Values from the calculation:
- ΔE_f (raw) (meV per atom) = 2385
- density of states at the Fermi level (states/eV/cell) = 5.2
- space-group type = P4/mmm, No. 123
- mass density (kg/m3) = 3683

---

Compound: K2CdIn4Hg3
Source: Alexandria via LeMat-Bulk
Functional: PBE
Structure: relaxed

Unit cell a=4.8829 b=4.8829 c=12.6708 alpha=90.00 beta=90.00 gamma=90.00
With the nearest neighbours (Å) after each atom.
Positions (direct):
K1 0.5000 0.0000 0.2521  6 Hg 3.73-3.98, 8 In 3.75-4.02, 2 Cd 3.98
K2 0.0000 0.5000 0.7479  6 Hg 3.73-3.98, 8 In 3.75-4.02, 2 Cd 3.98
Cd1 0.5000 0.5000 0.5000  4 In 2.96
In1 0.5000 0.5000 0.0000  4 Hg 3.03
In2 0.0000 0.0000 0.0000  4 Hg 3.03
In3 0.5000 0.0000 0.6319  3 Hg 2.88-2.96, 2 Cd 2.96
In4 0.0000 0.5000 0.3681  3 Hg 2.88-2.96, 2 Cd 2.96
Hg1 0.0000 0.0000 0.5000  4 In 2.96
Hg2 0.5000 0.0000 0.8590  5 In 2.88-3.03
Hg3 0.0000 0.5000 0.1410  5 In 2.88-3.03

Values from the calculation:
- calculated formation energy (eV per atom) = -0.132
- density of states at the Fermi level (states/eV/cell) = 3.8
- space-group type = P-4m2, No. 115
- mass density (kg/m3) = 6880

---

Compound: SrCu2F2
Source: Alexandria via LeMat-Bulk
Functional: PBE
Structure: relaxed

Unit cell a=6.1022 b=6.1022 c=5.0089 alpha=90.00 beta=90.00 gamma=90.00
With the nearest neighbours (Å) after each atom.
Positions (direct):
Sr1 0.0000 0.0000 0.0000  4 F 2.30
Sr2 0.5000 0.5000 0.0000  4 F 2.30
Cu1 0.1441 0.6441 0.5000  1 Cu 2.49, 2 F 2.51
Cu2 0.6441 0.8559 0.5000  1 Cu 2.49, 2 F 2.51
Cu3 0.8559 0.3559 0.5000  1 Cu 2.49, 2 F 2.51
Cu4 0.3559 0.1441 0.5000  1 Cu 2.49, 2 F 2.51
F1 0.1561 0.6561 0.0000  2 Sr 2.30, 2 Cu 2.51
F2 0.6561 0.8439 0.0000  2 Sr 2.30, 2 Cu 2.51
F3 0.8439 0.3439 0.0000  2 Sr 2.30, 2 Cu 2.51
F4 0.3439 0.1561 0.0000  2 Sr 2.30, 2 Cu 2.51

Values from the calculation:
- ΔE_f (raw) (meV per atom) = -1372
- density of states at the Fermi level (states/eV/cell) = 2.4
- space-group type = P4/mbm, No. 127
- mass density (kg/m3) = 4500

---

Compound: KNaGeCl2
Source: Alexandria via LeMat-Bulk
Functional: PBE
Structure: relaxed

Unit cell a=5.4158 b=6.2741 c=5.4158 alpha=90.00 beta=90.00 gamma=90.00
With the nearest neighbours (Å) after each atom.
Positions (direct):
Na1 0.5000 0.5000 0.5000  4 K 3.83, 8 Cl 4.14
Ge1 0.0000 0.0000 0.0000  4 Cl 2.71
K1 0.0000 0.5000 0.0000  2 Ge 3.14
Cl1 0.0000 0.0000 0.5000  2 Ge 2.71
Cl2 0.5000 0.0000 0.0000  2 Ge 2.71

Values from the calculation:
- ΔE_f (raw) (meV per atom) = -415
- density of states at the Fermi level (states/eV/cell) = 1.3
- space-group type = P4/mmm, No. 123
- mass density (kg/m3) = 1856

---

Compound: TbNd3Co
Source: Alexandria via LeMat-Bulk
Functional: PBE
Structure: relaxed

Unit cell a=8.3965 b=7.3119 c=7.3119 alpha=71.96 beta=55.34 gamma=55.34
With the nearest neighbours (Å) after each atom.
Positions (direct):
Tb1 0.7466 0.9555 0.9555  1 Co 2.57
Tb2 0.2534 0.0445 0.0445  1 Co 2.57
Nd1 0.2897 0.9552 0.5472  1 Co 2.62
Nd2 0.2897 0.5472 0.9552  1 Co 2.62
Nd3 0.7103 0.4528 0.0448  1 Co 2.62
Nd4 0.1632 0.5457 0.5457  1 Co 2.62
Nd5 0.7103 0.0448 0.4528  1 Co 2.62
Nd6 0.8368 0.4543 0.4543  1 Co 2.62
Co1 0.3669 0.2477 0.2477  1 Tb 2.57, 3 Nd 2.62
Co2 0.6331 0.7523 0.7523  1 Tb 2.57, 3 Nd 2.62

Values from the calculation:
- calculated formation energy (eV per atom) = -0.062
- density of states at the Fermi level (states/eV/cell) = 10.0
- space-group type = C2/m, No. 12
- mass density (kg/m3) = 7116

---

Compound: TaMnCo2
Source: Alexandria via LeMat-Bulk
Functional: PBE
Structure: relaxed

Unit cell a=6.5082 b=6.5082 c=5.2693 alpha=51.86 beta=51.86 gamma=90.00
With the nearest neighbours (Å) after each atom.
Positions (direct):
Mn1 0.5000 0.5000 0.0000  4 Co 2.32, 2 Ta 2.57
Mn2 0.2500 0.7500 0.5000  4 Co 2.32, 2 Ta 2.57
Co1 0.6089 0.1250 0.2500  2 Mn 2.32, 2 Ta 2.46, 2 Co 2.58
Co2 0.1411 0.6250 0.2500  2 Mn 2.32, 2 Ta 2.46, 2 Co 2.58
Co3 0.3750 0.3911 0.7500  2 Mn 2.32, 2 Ta 2.46, 2 Co 2.58
Co4 0.8750 0.8589 0.7500  2 Mn 2.32, 2 Ta 2.46, 2 Co 2.58
Ta1 0.0000 0.0000 0.0000  4 Co 2.46, 2 Mn 2.57
Ta2 0.7500 0.2500 0.5000  4 Co 2.46, 2 Mn 2.57

Values from the calculation:
- calculated formation energy (eV per atom) = 0.379
- density of states at the Fermi level (states/eV/cell) = 11.6
- space-group type = I-42d, No. 122
- mass density (kg/m3) = 10807

---

Compound: Ho2TmTl4
Source: Alexandria via LeMat-Bulk
Functional: PBE
Structure: relaxed

Unit cell a=6.4422 b=6.4422 c=6.4422 alpha=108.87 beta=109.77 gamma=109.77
With the nearest neighbours (Å) after each atom.
Positions (direct):
Tl1 0.5000 0.0000 0.0000  4 Ho 3.22, 2 Tm 3.22
Tl2 0.5000 0.5000 0.5000  2 Tm 3.22, 4 Ho 3.22
Tl3 0.0000 0.0000 0.5000  4 Ho 3.22, 2 Tm 3.22
Tl4 0.0000 0.5000 0.0000  4 Ho 3.22, 2 Tm 3.22
Tm1 0.0000 0.0000 0.0000  8 Tl 3.22
Ho1 0.5000 0.5000 0.0000  8 Tl 3.22
Ho2 0.5000 0.0000 0.5000  8 Tl 3.22

Values from the calculation:
- calculated formation energy (eV per atom) = -0.210
- density of states at the Fermi level (states/eV/cell) = 5.7
- space-group type = I4/mmm, No. 139
- mass density (kg/m3) = 10621

---

Compound: KAsPdO6
Source: Alexandria via LeMat-Bulk
Functional: PBE
Structure: relaxed

Unit cell a=5.0905 b=5.0905 c=6.1363 alpha=90.00 beta=90.00 gamma=60.00
With the nearest neighbours (Å) after each atom.
Positions (direct):
K1 0.0000 0.0000 0.0000  6 O 2.75
As1 0.3333 0.3333 0.5000  6 O 1.86
Pd1 0.6666 0.6667 0.5000  6 O 1.99
O1 0.0192 0.3582 0.3289  1 As 1.86, 1 Pd 1.99
O2 0.3581 0.0192 0.6711  1 As 1.86, 1 Pd 1.99
O3 0.6226 0.3582 0.6711  1 As 1.86, 1 Pd 1.99
O4 0.0192 0.6226 0.6711  1 As 1.86, 1 Pd 1.99
O5 0.3581 0.6226 0.3289  1 As 1.86, 1 Pd 1.99
O6 0.6226 0.0192 0.3289  1 As 1.86, 1 Pd 1.99

Values from the calculation:
- ΔE_f (raw) (meV per atom) = -795
- density of states at the Fermi level (states/eV/cell) = 2.0
- space-group type = P312, No. 149
- mass density (kg/m3) = 3816

---

Compound: GaRe3Ir
Source: Alexandria via LeMat-Bulk
Functional: PBE
Structure: relaxed

Unit cell a=4.4376 b=4.4376 c=4.4376 alpha=90.00 beta=90.00 gamma=90.00
With the nearest neighbours (Å) after each atom.
Positions (direct):
Re1 0.0000 0.5000 0.0000  2 Ga 2.22
Re2 0.0000 0.0000 0.5000  2 Ga 2.22
Re3 0.5000 0.0000 0.0000  2 Ga 2.22
Ir1 0.5000 0.5000 0.5000  12 Re 3.14
Ga1 0.0000 0.0000 0.0000  6 Re 2.22

Values from the calculation:
- calculated formation energy (eV per atom) = 1.997
- density of states at the Fermi level (states/eV/cell) = 5.7
- space-group type = Pm-3m, No. 221
- mass density (kg/m3) = 15592